The following is a DFT calculation (PBE) of a geometry-optimized TaSi2W structure.

```
TaSi2W
1.0
-0.698 -2.619 -0.517
2.483 0.283 -1.170
3.742 -2.448 7.346
Ta W Si
1 1 2
Cartesian
1.842 -1.205 3.615
3.739 -3.031 4.745
3.706 -2.425 7.275
1.852 -1.796 1.041
```

Output
Its raw formation energy is 54 kJ/mol of formula units. The calculation puts the total energy at -35.09 eV/f.u.